The following is a PBE calculation of crystalline LaTh3 at its relaxed geometry, from Alexandria.

a b c (Å): 5.0892 5.0892 10.0942
angles (deg): 90.00 90.00 90.00
Space group I4/mmm (No. 139)
One atom of each set of equivalent atoms:
La 0.0000 0.0000 0.0000 [2 per cell]
Th 0.0000 0.0000 0.5000 [2 per cell]
Th 0.0000 0.5000 0.2500 [4 per cell]

**E_form**: 1.08 kcal/mol of atoms
**DFT total energy**: -54.0 eV per cell
**Excess energy over the best structure of this formula in the dataset**: 0.000 eV per atom

The following is a PBE calculation of crystalline Ac2Tb15Pr2 at its relaxed geometry, from Alexandria.

a b c (Å): 11.6844 11.6844 17.0494
angles (deg): 90.00 90.00 120.00
Space group R-3m (No. 166, hexagonal axes)
One atom of each set of equivalent atoms:
Ac 0.0000 0.0000 0.1102 [6 per cell]
Tb 0.0000 0.3433 0.0000 [18 per cell]
Tb 0.0000 0.5000 0.5000 [9 per cell]
Tb 0.0225 0.5113 0.1754 [18 per cell]
Pr 0.0000 0.0000 0.3520 [6 per cell]

**E_form**: 5.90 kcal/mol of atoms
**DFT total energy**: -247.1 eV per cell

The following is a PBE calculation of crystalline Sm2ErBi at its relaxed geometry, from Alexandria.

a b c (Å): 4.1066 4.1066 28.6795
angles (deg): 90.00 90.00 120.00
Space group R3m (No. 160, hexagonal axes)
One atom of each set of equivalent atoms:
Sm 0.0000 0.0000 0.0000 [3 per cell]
Sm 0.0000 0.0000 0.1907 [3 per cell]
Er 0.0000 0.0000 0.4287 [3 per cell]
Bi 0.0000 0.0000 0.5951 [3 per cell]

**E_form**: -3.95 kcal/mol of atoms
**DFT total energy**: -55.7 eV per cell
**Excess energy over the best structure of this formula in the dataset**: 0.213 eV per atom

The following is a PBE calculation of crystalline RbSn2Hg2 at its relaxed geometry, from Alexandria.

a b c (Å): 4.8698 4.8698 13.2461
angles (deg): 90.00 90.00 90.00
Space group I4/mmm (No. 139)
One atom of each set of equivalent atoms:
Rb 0.0000 0.0000 0.0000 [2 per cell]
Sn 0.0000 0.5000 0.2500 [4 per cell]
Hg 0.0000 0.0000 0.3915 [4 per cell]

**E_form**: -3.35 kcal/mol of atoms
**DFT total energy**: -20.6 eV per cell
**Excess energy over the best structure of this formula in the dataset**: 0.001 eV per atom

The following is a PBE calculation of crystalline Mg2PPb at its relaxed geometry, from Alexandria.

a b c (Å): 3.5395 3.7600 14.2252
angles (deg): 90.00 90.00 90.00
Space group Imm2 (No. 44)
One atom of each set of equivalent atoms:
Mg 0.0000 0.0000 0.0000 [2 per cell]
Mg 0.0000 0.5000 0.1783 [2 per cell]
P 0.0000 0.5000 0.6360 [2 per cell]
Pb 0.0000 0.0000 0.3611 [2 per cell]

**E_form**: -3.71 kcal/mol of atoms
**DFT total energy**: -25.9 eV per cell

The following is a PBE calculation of crystalline PuMgSnRu at its relaxed geometry, from Alexandria.

a b c (Å): 6.8238 6.8238 6.8238
angles (deg): 90.00 90.00 90.00
Space group F-43m (No. 216)
One atom of each set of equivalent atoms:
Pu 0.0000 0.0000 0.0000 [4 per cell]
Mg 0.2500 0.2500 0.2500 [4 per cell]
Sn 0.0000 0.0000 0.5000 [4 per cell]
Ru 0.2500 0.2500 0.7500 [4 per cell]

**E_form**: -2.02 kcal/mol of atoms
**DFT total energy**: -118.2 eV per cell

The following is a PBE calculation of crystalline VNi4Ag at its relaxed geometry, from Alexandria.

a b c (Å): 6.6679 6.6679 6.6679
angles (deg): 90.00 90.00 90.00
Space group F-43m (No. 216)
One atom of each set of equivalent atoms:
V 0.0000 0.0000 0.0000 [4 per cell]
Ni 0.1253 0.1253 0.3747 [16 per cell]
Ag 0.2500 0.2500 0.7500 [4 per cell]

**E_form**: 0.76 kcal/mol of atoms
**DFT total energy**: -139.6 eV per cell

The following is a PBE calculation of crystalline KTiN2F at its relaxed geometry, from Alexandria.

a b c (Å): 4.2844 4.2844 4.3077
angles (deg): 90.00 90.00 90.00
Space group P4/mmm (No. 123)
One atom of each set of equivalent atoms:
K 0.0000 0.0000 0.0000 [1 per cell]
Ti 0.5000 0.5000 0.5000 [1 per cell]
N 0.0000 0.5000 0.0000 [2 per cell]
F 0.0000 0.0000 0.5000 [1 per cell]

**DFT total energy**: -20.0 eV per cell
**Excess energy over the best structure of this formula in the dataset**: 2.462 eV per atom

The following is a PBE calculation of crystalline TiPdSe2 at its relaxed geometry, from Alexandria.

a b c (Å): 6.4962 6.4962 6.4962
angles (deg): 90.00 90.00 90.00
Space group Fm-3m (No. 225)
One atom of each set of equivalent atoms:
Ti 0.0000 0.0000 0.0000 [4 per cell]
Pd 0.0000 0.0000 0.5000 [4 per cell]
Se 0.2500 0.2500 0.2500 [8 per cell]

**DFT total energy**: -87.7 eV per cell
**Excess energy over the best structure of this formula in the dataset**: 0.298 eV per atom

The following is a PBE calculation of crystalline Ce2PmHoTl4 at its relaxed geometry, from Alexandria.

a b c (Å): 5.4674 5.4674 26.8425
angles (deg): 90.00 90.00 120.00
Space group R-3m (No. 166, hexagonal axes)
One atom of each set of equivalent atoms:
Ce 0.0000 0.0000 0.2494 [6 per cell]
Pm 0.0000 0.0000 0.0000 [3 per cell]
Ho 0.0000 0.0000 0.5000 [3 per cell]
Tl 0.0000 0.0000 0.1259 [6 per cell]
Tl 0.0000 0.0000 0.3760 [6 per cell]

**E_form**: -6.50 kcal/mol of atoms
**DFT total energy**: -98.7 eV per cell

The following is a PBE calculation of crystalline CuH3Pd2 at its relaxed geometry, from Alexandria.

a b c (Å): 5.1332 8.7614 5.2286
angles (deg): 90.00 111.81 90.00
Space group Cc (No. 9)
One atom of each set of equivalent atoms:
Cu 0.0000 0.0851 0.0000 [4 per cell]
H 0.3719 0.0856 0.1440 [4 per cell]
H 0.3802 0.4241 0.1261 [4 per cell]
H 0.3852 0.2535 0.6416 [4 per cell]
Pd 0.0003 0.4185 0.0192 [4 per cell]
Pd 0.0022 0.2462 0.5168 [4 per cell]

**DFT total energy**: -98.9 eV per cell

The following is a PBE calculation of crystalline PmPaPb2 at its relaxed geometry, from Alexandria.

a b c (Å): 3.5108 3.5108 9.1716
angles (deg): 90.00 90.00 90.00
Space group P4/mmm (No. 123)
One atom of each set of equivalent atoms:
Pm 0.0000 0.0000 0.0000 [1 per cell]
Pa 0.0000 0.0000 0.5000 [1 per cell]
Pb 0.5000 0.5000 0.2529 [2 per cell]

**E_form**: -4.01 kcal/mol of atoms
**DFT total energy**: -22.4 eV per cell
**Excess energy over the best structure of this formula in the dataset**: 0.000 eV per atom

Question: The highest DFT total energy belongs to which entry?
Answer: KTiN2F

Question: Which of these has the highest DFT total energy?
Answer: KTiN2F

Question: Look up the DFT total energy of the fourth one.
Answer: -20.6 eV per cell